Below is a geometry-optimized Sc2Be2AlRh5 structure, with properties calculated at the PBE level.

Cell: 9.469 9.469 3.087 Å, 90.00 90.00 90.00°
Fractional positions:
Sc 0.176 0.324 0.000
Sc 0.324 0.824 0.000
Sc 0.676 0.176 0.000
Sc 0.824 0.676 0.000
Be 0.125 0.625 0.000
Be 0.375 0.125 0.000
Be 0.625 0.875 0.000
Be 0.875 0.375 0.000
Al 0.000 0.000 0.000
Al 0.500 0.500 0.000
Rh 0.000 0.500 0.500
Rh 0.069 0.791 0.500
Rh 0.209 0.069 0.500
Rh 0.291 0.569 0.500
Rh 0.431 0.291 0.500
Rh 0.500 0.000 0.500
Rh 0.569 0.709 0.500
Rh 0.709 0.431 0.500
Rh 0.791 0.931 0.500
Rh 0.931 0.209 0.500

Values from the calculation:
E = -139.50 eV per cell
mass density = 7.8 g/cm³